Compound: Li4MgCdPb2
Source: OQMD via LeMat-Bulk
Functional: PBE-GGA
Structure: optimized geometry

Computed properties:
total energy	-2.4357	eV per atom

a = 4.841 Å, b = 4.841 Å, c = 6.796 Å
α = 90.00°, β = 90.00°, γ = 90.00°
Space group P-4m2 (No. 115)
One atom of each set of equivalent atoms:
1 Li 0.000 0.000 0.000
2 Li 0.000 0.500 0.239
3 Li 0.500 0.500 0.500
4 Mg 0.000 0.000 0.500
5 Cd 0.500 0.500 0.000
6 Pb 0.000 0.500 0.739

=====

Compound: Li2MgCdPd2Pb2
Source: OQMD via LeMat-Bulk
Functional: PBE-GGA
Structure: optimized geometry

Computed properties:
total energy	-3.3954	eV per atom

a = 4.726 Å, b = 4.726 Å, c = 6.684 Å
α = 90.00°, β = 90.00°, γ = 90.00°
Space group P-4m2 (No. 115)
One atom of each set of equivalent atoms:
1 Li 0.000 0.500 0.247
2 Mg 0.000 0.000 0.500
3 Cd 0.500 0.500 0.000
4 Pd 0.000 0.500 0.739
5 Pb 0.000 0.000 0.000
6 Pb 0.500 0.500 0.500

=====

Compound: Li4MgCdPd2
Source: OQMD via LeMat-Bulk
Functional: PBE-GGA
Structure: optimized geometry

Computed properties:
total energy	-2.9544	eV per atom

a = 4.425 Å, b = 4.425 Å, c = 6.352 Å
α = 90.00°, β = 90.00°, γ = 90.00°
Space group P-4m2 (No. 115)
One atom of each set of equivalent atoms:
1 Li 0.000 0.000 0.000
2 Li 0.000 0.500 0.245
3 Li 0.500 0.500 0.500
4 Mg 0.000 0.000 0.500
5 Cd 0.500 0.500 0.000
6 Pd 0.000 0.500 0.738

=====

Compound: Li4MgCdPt2
Source: OQMD via LeMat-Bulk
Functional: PBE-GGA
Structure: optimized geometry

Computed properties:
total energy	-3.2785	eV per atom

a = 4.440 Å, b = 4.440 Å, c = 6.293 Å
α = 90.00°, β = 90.00°, γ = 90.00°
Space group P-4m2 (No. 115)
One atom of each set of equivalent atoms:
1 Li 0.000 0.000 0.000
2 Li 0.000 0.500 0.749
3 Li 0.500 0.500 0.500
4 Mg 0.500 0.500 0.000
5 Cd 0.000 0.000 0.500
6 Pt 0.000 0.500 0.237

=====

Compound: LiMgCdPt
Source: OQMD via LeMat-Bulk
Functional: PBE-GGA
Structure: optimized geometry

Computed properties:
energy above the lowest structure with this stoichiometry	0	meV per atom
total energy	-3.1552	eV per atom

a = 6.465 Å, b = 6.465 Å, c = 6.465 Å
α = 90.00°, β = 90.00°, γ = 90.00°
Space group F-43m (No. 216)
One atom of each set of equivalent atoms:
1 Li 0.000 0.000 0.000
2 Mg 0.250 0.250 0.750
3 Cd 0.250 0.250 0.250
4 Pt 0.000 0.000 0.500

=====

Compound: Li2MgTl2CdPt2
Source: OQMD via LeMat-Bulk
Functional: PBE-GGA
Structure: optimized geometry

Computed properties:
total energy	-3.2826	eV per atom

a = 4.667 Å, b = 4.667 Å, c = 6.600 Å
α = 90.00°, β = 90.00°, γ = 90.00°
Space group P-4m2 (No. 115)
One atom of each set of equivalent atoms:
1 Li 0.000 0.500 0.248
2 Mg 0.000 0.000 0.500
3 Tl 0.000 0.000 0.000
4 Tl 0.500 0.500 0.500
5 Cd 0.500 0.500 0.000
6 Pt 0.000 0.500 0.740